(1)
Here is crystalline Ti3CoGe2 at its relaxed geometry from Alexandria via LeMat-Bulk. Energies are from PBE-GGA.

Geometry as POSCAR:
```
Ti3CoGe2
1.0
3.8381 0.0000 0.0000
0.0000 9.5263 0.0000
0.0000 0.0000 10.1909
Co Ge Ti
4 8 12
direct
0.7500 0.6522 0.3574
0.7500 0.8478 0.8574
0.2500 0.1522 0.1426
0.2500 0.3478 0.6426
0.7500 0.1833 0.0132
0.2500 0.8167 0.9868
0.7500 0.4815 0.1895
0.7500 0.0185 0.6895
0.2500 0.5185 0.8105
0.2500 0.6833 0.4868
0.2500 0.9815 0.3105
0.7500 0.3167 0.5132
0.7500 0.9238 0.1320
0.7500 0.5762 0.6320
0.2500 0.4238 0.3680
0.2500 0.8159 0.7135
0.7500 0.1841 0.2865
0.2500 0.0762 0.8680
0.2500 0.3784 0.0424
0.2500 0.6841 0.2135
0.7500 0.6216 0.9576
0.7500 0.8784 0.4576
0.7500 0.3159 0.7865
0.2500 0.1216 0.5424
```

As for the total energy: -0.265 hartree per atom. Its spin magnetization is 0.0 μB/f.u. The calculation puts the formation energy at -0.545 eV per atom.

=====

(2)
Here is crystalline Pm2TiSn3Pt4 at its relaxed geometry from Alexandria via LeMat-Bulk. Energies are from PBE-GGA.

Geometry as POSCAR:
```
Pm2TiSn3Pt4
1.0
4.4893 0.0000 0.0000
0.0000 4.4893 0.0000
0.0000 0.0000 10.8743
Pm Pt Sn Ti
2 4 3 1
direct
0.5000 0.0000 0.2454
0.0000 0.5000 0.7546
0.0000 0.5000 0.3710
0.5000 0.0000 0.6290
0.5000 0.5000 0.0000
0.0000 0.0000 0.0000
0.0000 0.0000 0.5000
0.5000 0.0000 0.8665
0.0000 0.5000 0.1335
0.5000 0.5000 0.5000
```

As for the total energy: -0.228 hartree per atom. Its spin magnetization is 0.0 μB/f.u. The calculation puts the formation energy at -0.841 eV per atom.

=====

(3)
Here is crystalline LiYAu4 at its relaxed geometry from Alexandria via LeMat-Bulk. Energies are from PBE-GGA.

Geometry as POSCAR:
```
LiYAu4
1.0
4.3504 -0.4589 -0.0024
-0.4597 4.3509 -0.0035
-0.0008 0.0007 7.0325
Au Y Li
4 1 1
direct
0.5014 0.9970 0.7125
0.5011 0.9975 0.2838
0.0012 0.4974 0.7124
0.0016 0.4971 0.2838
0.5014 0.4972 0.9981
0.0011 0.9975 0.4983
```

As for the total energy: -0.149 hartree per atom. Its spin magnetization is 0.0 μB/f.u. The calculation puts the formation energy at -0.468 eV per atom.

=====

(4)
Here is crystalline GaSbH2 at its relaxed geometry from Alexandria via LeMat-Bulk. Energies are from PBE-GGA.

Geometry as POSCAR:
```
GaSbH2
1.0
4.2308 0.0000 0.0000
-0.0060 4.2692 0.0000
-0.1442 -0.0050 9.9121
H Sb Ga
4 2 2
direct
0.9735 0.8073 0.4523
0.9435 0.8081 0.3772
0.4863 0.3051 0.5667
0.4575 0.3073 0.4916
0.9772 0.8076 0.7900
0.4549 0.3133 0.1530
0.9574 0.3092 0.9700
0.4748 0.8119 0.9731
```

As for the total energy: -0.127 hartree per atom. Its spin magnetization is 0.0 μB/f.u.

=====

(5)
Here is crystalline TaReBr at its relaxed geometry from Alexandria via LeMat-Bulk. Energies are from PBE-GGA.

Geometry as POSCAR:
```
TaReBr
1.0
3.3158 0.0000 0.0000
-1.6579 2.8715 0.0000
0.0000 0.0000 6.5036
Re Br Ta
1 1 1
direct
0.3333 0.6667 0.3913
0.0000 0.0000 0.9673
0.6667 0.3333 0.6414
```

The value obtained for the uncorrected formation energy is 0.24 eV per atom. As for the total energy: -0.309 hartree per atom. Its spin magnetization is 0.0 μB/f.u.

=====

(6)
Here is crystalline Sm4PbI5 at its relaxed geometry from Alexandria via LeMat-Bulk. Energies are from PBE-GGA.

Geometry as POSCAR:
```
Sm4PbI5
1.0
-2.7130 -2.9916 -1.6766
6.0678 -6.6053 1.9674
-3.9123 1.7295 8.9469
Sm I Pb
4 5 1
direct
0.6597 0.0683 0.3194
0.9986 0.7692 0.9971
0.3403 0.9317 0.6806
0.0014 0.2308 0.0029
0.8318 0.6756 0.6636
0.8303 0.1836 0.6606
0.1697 0.8164 0.3394
0.1682 0.3244 0.3364
0.5000 0.5000 0.0000
0.5000 0.0000 0.0000
```

The value obtained for the uncorrected formation energy is -1.07 eV per atom. As for the total energy: -0.151 hartree per atom. Its spin magnetization is 0.0 μB/f.u.

=====

(7)
Here is crystalline Pr3Tm4Se8 at its relaxed geometry from Alexandria via LeMat-Bulk. Energies are from PBE-GGA.

Geometry as POSCAR:
```
Pr3Tm4Se8
1.0
8.2145 -0.1086 -0.1561
-4.0023 7.2187 0.1472
-4.0023 -2.3679 6.8208
Se Tm Pr
8 4 3
direct
0.0000 0.2472 0.7528
0.5000 0.2428 0.7572
0.9862 0.2412 0.2412
0.4924 0.2390 0.2390
0.0138 0.7588 0.7588
0.5000 0.7572 0.2428
0.5075 0.7610 0.7610
0.0000 0.7528 0.2472
0.0000 0.0000 0.5000
0.5000 0.0000 0.0000
0.0000 0.0000 0.0000
0.0000 0.5000 0.0000
0.5000 0.0000 0.5000
0.5000 0.5000 0.5000
0.5000 0.5000 0.0000
```

The value obtained for the uncorrected formation energy is -1.79 eV per atom. As for the total energy: -0.213 hartree per atom. Its spin magnetization is 0.0 μB/f.u.

=====

(8)
Here is crystalline TaAsRu at its relaxed geometry from Alexandria via LeMat-Bulk. Energies are from PBE-GGA.

Geometry as POSCAR:
```
TaAsRu
1.0
-1.9363 2.2589 -3.0730
-0.8836 -4.1577 0.4773
-2.1737 0.6762 1.8667
Ta Ru As
1 1 1
direct
0.3333 0.6667 0.6668
0.6667 0.3333 0.1668
0.0000 0.0000 0.1664
```

As for the total energy: -0.329 hartree per atom. Its spin magnetization is 0.0 μB/f.u. The calculation puts the formation energy at -0.365 eV per atom.

=====

(9)
Here is crystalline MgFe2Pt5 at its relaxed geometry from Alexandria via LeMat-Bulk. Energies are from PBE-GGA.

Geometry as POSCAR:
```
MgFe2Pt5
1.0
3.9815 0.0000 0.0000
0.0000 5.4889 0.0000
0.0000 0.0000 10.9792
Mg Pt Fe
2 10 4
direct
0.0000 0.0000 0.5000
0.0000 0.5000 0.0000
0.0000 0.5219 0.2467
0.5000 0.7328 0.8808
0.5000 0.2328 0.6192
0.0000 0.5000 0.5000
0.0000 0.9781 0.7467
0.0000 0.4781 0.7533
0.0000 0.0219 0.2533
0.5000 0.7672 0.3808
0.5000 0.2672 0.1192
0.0000 0.0000 0.0000
0.5000 0.7240 0.6326
0.5000 0.2760 0.3674
0.5000 0.7760 0.1326
0.5000 0.2240 0.8674
```

As for the total energy: -0.236 hartree per atom. Its spin magnetization is 8.0 μB/f.u. The calculation puts the formation energy at -0.344 eV per atom.

=====

(10)
Here is crystalline Ac2Nd3Au2 at its relaxed geometry from Alexandria via LeMat-Bulk. Energies are from PBE-GGA.

Geometry as POSCAR:
```
Ac2Nd3Au2
1.0
4.0161 0.0000 0.0000
-2.0081 6.5245 -0.4684
0.0000 -3.5658 9.0763
Ac Nd Au
2 3 2
direct
0.1549 0.3099 0.8082
0.8451 0.6901 0.1918
0.6172 0.2344 0.4459
0.5000 0.0000 0.0000
0.3828 0.7656 0.5541
0.1582 0.3164 0.2326
0.8418 0.6836 0.7674
```

As for the total energy: -0.170 hartree per atom. Its spin magnetization is 0.0 μB/f.u. The calculation puts the formation energy at -0.459 eV per atom.

=====

(11)
Here is crystalline YEr3Co2 at its relaxed geometry from Alexandria via LeMat-Bulk. Energies are from PBE-GGA.

Geometry as POSCAR:
```
YEr3Co2
1.0
-3.0741 4.1611 3.9404
2.8230 -3.0714 5.4459
5.2347 3.5505 -5.0319
Er Co Y
6 4 2
direct
0.2363 0.9863 0.4726
0.7637 0.0137 0.5274
0.7637 0.5137 0.5274
0.2363 0.4863 0.4726
0.5000 0.7500 0.0000
0.5000 0.2500 0.0000
0.8550 0.1369 0.2738
0.1450 0.8631 0.7262
0.4188 0.6369 0.2738
0.5812 0.3631 0.7262
0.0000 0.0000 0.0000
0.0000 0.5000 0.0000
```

As for the total energy: -0.213 hartree per atom. Its spin magnetization is 0.0 μB/f.u. The calculation puts the formation energy at -0.077 eV per atom.

=====

(12)
Here is crystalline Y2MgP at its relaxed geometry from Alexandria via LeMat-Bulk. Energies are from PBE-GGA.

Geometry as POSCAR:
```
Y2MgP
1.0
-3.6489 0.6757 -1.7103
-1.7894 -2.1809 2.9560
-0.6198 4.9534 3.2793
Mg P Y
1 1 2
direct
0.0000 0.0000 0.4533
0.5000 0.5000 0.8132
0.0000 0.0000 0.9383
0.5000 0.5000 0.2952
```

As for the total energy: -0.198 hartree per atom. Its spin magnetization is 0.0 μB/f.u. The calculation puts the formation energy at -0.418 eV per atom.